1.
## LiGaSn4 (PBE-GGA)

Data for a geometry-optimized LiGaSn4 structure.

Output
crystal system	monoclinic
offset from the most stable computed form	0	meV/atom
formation enthalpy at 0 K	-19	kJ/mol of formula units
calculated total energy	-3.525	eV/atom
DOS(E_F)	0.389	states/eV per atom

```
data_LiGaSn4
_space_group_name_H-M_alt 'P 1 2/m 1'
_space_group_IT_number 10
_cell_length_a 4.076
_cell_length_b 3.993
_cell_length_c 9.288
_cell_angle_alpha 90.00
_cell_angle_beta 98.83
_cell_angle_gamma 90.00
loop_
_space_group_symop_operation_xyz
'x,y,z'
'-x,-y,-z'
'-x,y,-z'
'x,-y,z'
loop_
_atom_site_label
_atom_site_fract_x
_atom_site_fract_y
_atom_site_fract_z
_atom_site_occupancy
Li1 0.000 0.000 0.000 1
Ga1 0.500 0.500 0.500 1
Sn1 0.053 0.000 0.330 1
Sn2 0.477 0.500 0.830 1
```

=====

2.
## TbPr2Dy4Ho2 (PBE-GGA)

Data for a geometry-optimized TbPr2Dy4Ho2 structure.

Output
crystal system	triclinic
formation enthalpy at 0 K	16	kJ/mol of formula units
calculated total energy	-4.621	eV/atom
DOS(E_F)	1.291	states/eV per atom

```
data_TbPr2Dy4Ho2
_space_group_name_H-M_alt 'P -1'
_space_group_IT_number 2
_cell_length_a 6.190
_cell_length_b 6.193
_cell_length_c 8.002
_cell_angle_alpha 82.58
_cell_angle_beta 75.14
_cell_angle_gamma 80.43
loop_
_space_group_symop_operation_xyz
'x,y,z'
'-x,-y,-z'
loop_
_atom_site_label
_atom_site_fract_x
_atom_site_fract_y
_atom_site_fract_z
_atom_site_occupancy
Tb1 0.000 0.000 0.000 1
Pr1 0.333 0.668 0.668 1
Dy1 0.223 0.445 0.111 1
Dy2 0.443 0.889 0.220 1
Ho1 0.109 0.223 0.556 1
```

=====

3.
## Tb2Ce2Er7 (PBE-GGA)

Data for a geometry-optimized Tb2Ce2Er7 structure.

Output
crystal system	monoclinic
offset from the most stable computed form	31	meV/atom
formation enthalpy at 0 K	253	kJ/mol of formula units
calculated total energy	-4.586	eV/atom
DOS(E_F)	1.844	states/eV per atom

```
data_Tb2Ce2Er7
_space_group_name_H-M_alt 'C 1 2/m 1'
_space_group_IT_number 12
_cell_length_a 9.730
_cell_length_b 10.998
_cell_length_c 6.902
_cell_angle_alpha 90.00
_cell_angle_beta 110.38
_cell_angle_gamma 90.00
loop_
_space_group_symop_operation_xyz
'x,y,z'
'-x,-y,-z'
'-x,y,-z'
'x,-y,z'
'x+1/2,y+1/2,z'
'-x+1/2,-y+1/2,-z'
'-x+1/2,y+1/2,-z'
'x+1/2,-y+1/2,z'
loop_
_atom_site_label
_atom_site_fract_x
_atom_site_fract_y
_atom_site_fract_z
_atom_site_occupancy
Tb1 0.000 0.157 0.000 1
Ce1 0.112 0.500 0.438 1
Er1 0.000 0.000 0.500 1
Er2 0.174 0.252 0.691 1
Er3 0.185 0.500 0.992 1
```

=====

4.
## Ho2TaO6 (PBE-GGA)

Data for a geometry-optimized Ho2TaO6 structure.

Output
crystal system	tetragonal
formation energy without anion corrections	-3.0427	eV per atom
calculated total energy	-8.682	eV/atom
DOS(E_F)	0.551	states/eV per atom

```
data_Ho2TaO6
_space_group_name_H-M_alt 'P 42/m n m'
_space_group_IT_number 136
_space_group_name_Hall '-P 4n 2n'
_cell_length_a 5.035
_cell_length_b 5.035
_cell_length_c 10.066
_cell_angle_alpha 90.00
_cell_angle_beta 90.00
_cell_angle_gamma 90.00
loop_
_atom_site_label
_atom_site_fract_x
_atom_site_fract_y
_atom_site_fract_z
_atom_site_occupancy
Ho1 0.000 0.000 0.169 1
Ta1 0.000 0.000 0.500 1
O1 0.187 0.187 0.351 1
O2 0.217 0.217 0.000 1
```

=====

5.
## Ta2TcIr (PBE-GGA)

Data for a geometry-optimized Ta2TcIr structure.

Output
crystal system	monoclinic
formation enthalpy at 0 K	-96	kJ/mol of formula units
calculated total energy	-10.983	eV/atom
DOS(E_F)	0.723	states/eV per atom

```
data_Ta2TcIr
_space_group_name_H-M_alt 'C 1 m 1'
_space_group_IT_number 8
_cell_length_a 9.712
_cell_length_b 2.863
_cell_length_c 4.799
_cell_angle_alpha 90.00
_cell_angle_beta 99.56
_cell_angle_gamma 90.00
loop_
_space_group_symop_operation_xyz
'x,y,z'
'x,-y,z'
'x+1/2,y+1/2,z'
'x+1/2,-y+1/2,z'
loop_
_atom_site_label
_atom_site_fract_x
_atom_site_fract_y
_atom_site_fract_z
_atom_site_occupancy
Ta1 0.000 0.000 0.000 1
Ta2 0.228 0.000 0.681 1
Tc1 0.254 0.500 0.199 1
Ir1 0.481 0.000 0.488 1
```

=====

6.
## Ba2Bi3SbPt4 (PBE-GGA)

Data for a geometry-optimized Ba2Bi3SbPt4 structure.

Output
crystal system	tetragonal
formation energy without anion corrections	-0.6475	eV per atom
calculated total energy	-5.025	eV/atom
DOS(E_F)	0.670	states/eV per atom

```
data_Ba2Bi3SbPt4
_space_group_name_H-M_alt 'P -4 m 2'
_space_group_IT_number 115
_cell_length_a 4.989
_cell_length_b 4.989
_cell_length_c 10.740
_cell_angle_alpha 90.00
_cell_angle_beta 90.00
_cell_angle_gamma 90.00
loop_
_space_group_symop_operation_xyz
'x,y,z'
'y,-x,-z'
'-x,-y,z'
'-y,x,-z'
'-x,y,z'
'-y,-x,-z'
'x,-y,z'
'y,x,-z'
loop_
_atom_site_label
_atom_site_fract_x
_atom_site_fract_y
_atom_site_fract_z
_atom_site_occupancy
Ba1 0.000 0.500 0.242 1
Bi1 0.000 0.500 0.876 1
Bi2 0.500 0.500 0.500 1
Sb1 0.000 0.000 0.500 1
Pt1 0.000 0.000 0.000 1
Pt2 0.000 0.500 0.614 1
Pt3 0.500 0.500 0.000 1
```

=====

7.
## BeOs2Ru (PBE-GGA)

Data for a geometry-optimized BeOs2Ru structure.

Output
crystal system	trigonal
formation enthalpy at 0 K	50	kJ/mol of formula units
calculated total energy	-8.736	eV/atom
DOS(E_F)	0.834	states/eV per atom

```
data_BeOs2Ru
_space_group_name_H-M_alt 'R -3 m'
_space_group_IT_number 166
_space_group_name_Hall '-R 3 2"'
_cell_length_a 2.7071
_cell_length_b 2.7071
_cell_length_c 24.8036
_cell_angle_alpha 90.00
_cell_angle_beta 90.00
_cell_angle_gamma 120.00
loop_
_atom_site_label
_atom_site_fract_x
_atom_site_fract_y
_atom_site_fract_z
_atom_site_occupancy
Be1 0.0000 0.0000 0.0000 1
Os1 0.0000 0.0000 0.2549 1
Ru1 0.0000 0.0000 0.5000 1
```

=====

8.
## BaCaIn2Au4 (PBE-GGA)

Data for a geometry-optimized BaCaIn2Au4 structure.

Output
crystal system	trigonal
formation enthalpy at 0 K	-433	kJ/mol of formula units
calculated total energy	-3.375	eV/atom
DOS(E_F)	0.494	states/eV per atom

```
data_BaCaIn2Au4
_space_group_name_H-M_alt 'R -3 m'
_space_group_IT_number 166
_space_group_name_Hall '-R 3 2"'
_cell_length_a 4.8674
_cell_length_b 4.8674
_cell_length_c 29.7123
_cell_angle_alpha 90.00
_cell_angle_beta 90.00
_cell_angle_gamma 120.00
loop_
_atom_site_label
_atom_site_fract_x
_atom_site_fract_y
_atom_site_fract_z
_atom_site_occupancy
Ba1 0.0000 0.0000 0.0000 1
Ca1 0.0000 0.0000 0.5000 1
In1 0.0000 0.0000 0.2376 1
Au1 0.0000 0.0000 0.1208 1
Au2 0.0000 0.0000 0.3994 1
```

=====

Number 1: ρ 6.1 g/cm3. Number 2: ρ 8.1 g/cm3. Number 3: ρ 8.5 g/cm3. Number 4: ρ 7.9 g/cm3. Number 5: ρ 16.5 g/cm3. Number 6: ρ 11.2 g/cm3. Number 7: ρ 15.5 g/cm3. Number 8: ρ 9.8 g/cm3.